This record from Alexandria via LeMat-Bulk describes a relaxed structure of ZnSbW2. The functional is GGA-PBE.

The structure in POSCAR format:
```
ZnSbW2
1.0
-2.9233 -3.6206 1.5855
-0.9738 -2.7016 3.9901
-3.4471 2.7248 1.7533
Sb W Zn
1 2 1
Direct
0.2500 0.2500 0.2500
0.0038 0.0038 0.9680
0.4962 0.4962 0.5320
0.7500 0.7500 0.7500
```

- mass density (g cm⁻³) = 13.1
- ΔE to the lowest computed polymorph (kJ per mole of atoms) = 17.8
- spin magnetization (Bohr magnetons per cell) = 0.0
- volume (Å³ per atom) = 17.568
- formation energy from raw total energies (eV per atom) = 0.501